[1]
First-principles (PBE) data for a geometry-optimized Th2Pd6Au structure, as listed in Alexandria via LeMat-Bulk.

Cell and atoms, written as POSCAR:
```
Th2Pd6Au
1.0
-5.030 -2.476 -2.716
2.941 -4.840 -1.026
-0.003 -4.247 3.885
Pd Th Au
6 2 1
direct
0.326 0.825 0.350
0.674 0.175 0.175
0.674 0.650 0.175
0.674 0.175 0.650
0.326 0.350 0.825
0.326 0.825 0.825
0.206 0.333 0.333
0.794 0.667 0.667
0.000 0.000 0.000
```

Values from the calculation:
* spin magnetization: 0.0 Bohr magnetons per cell
* calculated volume: 178.8 Å³/cell
* final energy: -55.50 eV per cell
* energy of formation: -0.6921 eV/atom

***

[2]
First-principles (PBE) data for a geometry-optimized K2ZnCd3Au4 structure, as listed in Alexandria via LeMat-Bulk.

Cell and atoms, written as POSCAR:
```
K2ZnCd3Au4
1.0
4.940 0.000 0.000
0.000 4.940 0.000
0.000 0.000 10.677
Cd K Zn Au
3 2 1 4
direct
0.000 0.000 0.500
0.000 0.500 0.130
0.500 0.000 0.870
0.500 0.000 0.247
0.000 0.500 0.753
0.500 0.500 0.500
0.000 0.000 0.000
0.500 0.500 0.000
0.000 0.500 0.388
0.500 0.000 0.612
```

Values from the calculation:
* spin magnetization: 0.0 Bohr magnetons per cell
* calculated volume: 260.6 Å³/cell
* final energy: -21.55 eV per cell
* energy of formation: -0.2228 eV/atom

***

[3]
First-principles (PBE) data for a geometry-optimized Ti2TlH structure, as listed in Alexandria via LeMat-Bulk.

Cell and atoms, written as POSCAR:
```
Ti2TlH
1.0
3.125 0.000 0.000
1.563 2.706 0.000
1.563 0.902 7.068
Ti H Tl
2 1 1
direct
0.281 0.281 0.156
0.719 0.719 0.844
0.000 0.000 0.000
0.500 0.500 0.500
```

Values from the calculation:
* spin magnetization: 0.0 Bohr magnetons per cell
* calculated volume: 59.8 Å³/cell
* energy above the most stable polymorph in this dataset: 9.1 kJ per mole of atoms
* final energy: -21.73 eV per cell

***

[4]
First-principles (PBE) data for a geometry-optimized CdRuAu2 structure, as listed in Alexandria via LeMat-Bulk.

Cell and atoms, written as POSCAR:
```
CdRuAu2
1.0
5.708 0.000 -0.003
2.844 4.949 0.003
-3.577 -3.683 2.495
Au Cd Ru
2 1 1
direct
0.994 0.994 0.000
0.248 0.748 0.500
0.505 0.505 0.000
0.753 0.253 0.500
```

Values from the calculation:
* spin magnetization: 0.6 Bohr magnetons per cell
* calculated volume: 70.5 Å³/cell
* final energy: -15.71 eV per cell
* energy of formation: 0.2582 eV/atom